Here is a relaxed structure of LiVNO2 from the Alexandria database. Energies are from GGA+U.

Its crystal system is tetragonal. As for the total magnetic moment: 0.03 μB per atom. For the uncorrected energy, the calculation gives -6.4087 eV/atom.

The structure in POSCAR format:
```
LiVNO2
1.0
3.765 0.000 0.000
0.000 3.765 0.000
0.000 0.000 3.802
Li V N O
1 1 1 2
Cartesian
0.000 0.000 0.000
1.882 1.882 1.901
1.882 1.882 0.000
0.000 1.882 1.901
1.882 0.000 1.901
```